[1]
VASP calculation (GGA-PBE) on RePIrPt after structural relaxation.

Results
As for the polymorph energy (0 for the lowest one): 0.0 kJ per mole of atoms. The energy of formation from the pure elements is -0.760 eV per formula unit. The total magnetization comes out at 0.00 μB/cell.

Cell: 4.6670 2.8313 4.7163 Å, 90.00 107.35 90.00°
With the nearest neighbours (Å) after each atom.
Element x y z (fractional)
Re  0.8440  0.0000  0.1910  2 P 2.35
P  0.1784  0.5000  0.5310  2 Ir 2.31-2.56, 2 Pt 2.32-2.50, 2 Re 2.35
Ir  0.3179  0.5000  0.0447  2 P 2.31-2.56
Pt  0.6994  0.5000  0.6654  2 P 2.32-2.50

[2]
VASP calculation (GGA-PBE) on P2IrPtS after structural relaxation.

Results
Its raw formation energy is 0.9170 eV/atom. As for the polymorph energy (0 for the lowest one): 0.0 kJ per mole of atoms. The total magnetization comes out at 0.00 μB/cell.

Cell: 4.4658 4.4658 4.8823 Å, 90.00 90.00 90.00°
With the nearest neighbours (Å) after each atom.
Element x y z (fractional)
P  0.0000  0.5000  0.0000  2 Ir 2.23
P  0.5000  0.0000  0.0000  2 Ir 2.23
S  0.0000  0.0000  0.5000  2 Ir 2.44
Ir  0.0000  0.0000  0.0000  4 P 2.23, 2 S 2.44
Pt  0.5000  0.5000  0.5000  4 S 3.16, 8 P 3.31

[3]
VASP calculation (GGA-PBE) on Sc2PIrPt after structural relaxation.

Results
The energy of formation from the pure elements is 0.831 eV per formula unit. The total magnetization comes out at 0.00 μB/cell.

Cell: 4.9294 4.8269 4.9294 Å, 90.00 90.00 90.00°
With the nearest neighbours (Å) after each atom.
Element x y z (fractional)
Sc  0.0000  0.0000  0.5000  2 Ir 2.46
Sc  0.5000  0.0000  0.0000  2 Ir 2.46
P  0.5000  0.5000  0.5000  8 Sc 3.45, 4 Pt 3.49
Ir  0.0000  0.0000  0.0000  2 Pt 2.41, 4 Sc 2.46
Pt  0.0000  0.5000  0.0000  2 Ir 2.41

[4]
VASP calculation (GGA-PBE) on Sm2P4Ir3Pt after structural relaxation.

Results
The energy of formation from the pure elements is -9.799 eV per formula unit. The total magnetization comes out at 0.00 μB/cell.

Cell: 4.2194 4.2194 9.4875 Å, 90.00 90.00 90.00°
With the nearest neighbours (Å) after each atom.
Element x y z (fractional)
Sm  0.5000  0.0000  0.2408  8 P 3.11-3.19, 7 Ir 3.23-3.34, 2 Pt 3.24
Sm  0.0000  0.5000  0.7592  8 P 3.11-3.19, 7 Ir 3.23-3.34, 2 Pt 3.24
P  0.5000  0.5000  0.0000  4 Ir 2.36
P  0.0000  0.0000  0.0000  4 Ir 2.36
P  0.5000  0.0000  0.6408  3 Ir 2.35-2.50, 2 Pt 2.50
P  0.0000  0.5000  0.3592  3 Ir 2.35-2.50, 2 Pt 2.50
Ir  0.0000  0.0000  0.5000  4 P 2.50
Ir  0.5000  0.0000  0.8886  5 P 2.35-2.36
Ir  0.0000  0.5000  0.1114  5 P 2.35-2.36
Pt  0.5000  0.5000  0.5000  4 P 2.50

[5]
VASP calculation (GGA-PBE) on TbP2Ir5Pt after structural relaxation.

Results
The energy of formation from the pure elements is -2.972 eV per formula unit. The total magnetization comes out at 0.00 μB/cell.

Cell: 3.9590 3.9590 10.4898 Å, 90.00 90.00 90.00°
With the nearest neighbours (Å) after each atom.
Element x y z (fractional)
Tb  0.0000  0.0000  0.5000  4 Ir 2.80
P  0.5000  0.5000  0.2820  5 Ir 2.29-2.30
P  0.5000  0.5000  0.7180  5 Ir 2.29-2.30
Ir  0.0000  0.5000  0.1694  2 P 2.30
Ir  0.5000  0.0000  0.1694  2 P 2.30
Ir  0.0000  0.5000  0.8306  2 P 2.30
Ir  0.5000  0.0000  0.8306  2 P 2.30
Ir  0.5000  0.5000  0.5000  2 P 2.29
Pt  0.0000  0.0000  0.0000  8 Ir 2.66

[6]
VASP calculation (GGA-PBE) on ThPIrPt after structural relaxation.

Results
The energy of formation from the pure elements is -3.973 eV per formula unit. The total magnetization comes out at 0.00 μB/cell.

Cell: 3.9663 3.9663 9.5820 Å, 90.00 90.00 90.00°
With the nearest neighbours (Å) after each atom.
Element x y z (fractional)
Th  0.0000  0.5000  0.7736  5 Pt 3.02-3.10, 4 P 3.06, 4 Ir 3.29
Th  0.5000  0.0000  0.2264  5 Pt 3.02-3.10, 4 P 3.06, 4 Ir 3.29
P  0.0000  0.5000  0.3540  4 Ir 2.43, 1 Pt 2.54
P  0.5000  0.0000  0.6460  4 Ir 2.43, 1 Pt 2.54
Ir  0.0000  0.0000  0.5000  4 P 2.43
Ir  0.5000  0.5000  0.5000  4 P 2.43
Pt  0.5000  0.0000  0.9112  1 P 2.54
Pt  0.0000  0.5000  0.0888  1 P 2.54

[7]
VASP calculation (GGA-PBE) on Th2P3Ir4Pt after structural relaxation.

Results
The energy of formation from the pure elements is -8.913 eV per formula unit. The total magnetization comes out at 0.00 μB/cell.

Cell: 4.0175 4.0175 10.9466 Å, 90.00 90.00 90.00°
With the nearest neighbours (Å) after each atom.
Element x y z (fractional)
Th  0.5000  0.0000  0.2548  4 Ir 2.95, 4 P 3.19
Th  0.0000  0.5000  0.7452  4 Ir 2.95, 4 P 3.19
P  0.0000  0.0000  0.5000  4 Ir 2.75, 4 Pt 2.84
P  0.5000  0.0000  0.8774  5 Ir 2.25-2.42
P  0.0000  0.5000  0.1226  5 Ir 2.25-2.42
Ir  0.5000  0.5000  0.0000  4 P 2.42
Ir  0.0000  0.0000  0.0000  4 P 2.42
Ir  0.5000  0.0000  0.6720  1 P 2.25
Ir  0.0000  0.5000  0.3280  1 P 2.25
Pt  0.5000  0.5000  0.5000  4 Ir 2.75, 4 P 2.84

[8]
VASP calculation (GGA-PBE) on ThP2Ir5Pt after structural relaxation.

Results
The energy of formation from the pure elements is -3.414 eV per formula unit. The total magnetization comes out at 0.00 μB/cell.

Cell: 4.0037 4.0037 10.3788 Å, 90.00 90.00 90.00°
With the nearest neighbours (Å) after each atom.
Element x y z (fractional)
Th  0.0000  0.0000  0.5000  4 Ir 2.83
P  0.5000  0.5000  0.2772  5 Ir 2.29-2.31
P  0.5000  0.5000  0.7228  5 Ir 2.29-2.31
Ir  0.0000  0.5000  0.1692  2 P 2.29
Ir  0.5000  0.0000  0.1692  2 P 2.29
Ir  0.0000  0.5000  0.8308  2 P 2.29
Ir  0.5000  0.0000  0.8308  2 P 2.29
Ir  0.5000  0.5000  0.5000  2 P 2.31
Pt  0.0000  0.0000  0.0000  8 Ir 2.66